# 1
Compound: KZnHgAu2
Source: the Alexandria database
Functional: PBE-GGA
Structure: relaxed

Cell lengths 5.1040, 5.1040, 5.2490 Å; angles 90.00, 90.00, 90.00 degrees
Last column: nearest neighbours and their distance in Å.
Atoms (fractional coordinates):
K  0.0000  0.0000  0.0000  4 Hg 3.61, 8 Au 3.66
Zn  0.5000  0.5000  0.5000  4 Au 2.55, 2 Hg 2.62
Hg  0.5000  0.5000  0.0000  2 Zn 2.62
Au  0.0000  0.5000  0.5000  2 Zn 2.55
Au  0.5000  0.0000  0.5000  2 Zn 2.55

Results
E_form: -116.5 meV/atom
magnetic moment: 0.00 μB per formula unit
total DFT energy (no corrections): -1.96 eV/atom

***

# 2
Compound: KZnHgAu
Source: the Alexandria database
Functional: PBE-GGA
Structure: relaxed

Cell lengths 4.6468, 4.6468, 18.2779 Å; angles 90.00, 90.00, 120.00 degrees
Last column: nearest neighbours and their distance in Å.
Atoms (fractional coordinates):
K  0.0000  0.0000  0.0000  4 Zn 3.58-3.72, 4 Hg 3.60-3.69, 3 Au 3.64
K  0.3333  0.6667  0.6667  4 Zn 3.58-3.72, 4 Hg 3.60-3.69, 3 Au 3.64
K  0.6667  0.3333  0.3333  4 Zn 3.58-3.72, 4 Hg 3.60-3.69, 3 Au 3.64
Zn  0.0000  0.0000  0.2036  3 Au 2.68, 3 Hg 2.99
Zn  0.3333  0.6667  0.8702  3 Au 2.68, 3 Hg 2.99
Zn  0.6667  0.3333  0.5369  3 Au 2.68, 3 Hg 2.99
Hg  0.0000  0.0000  0.7979  3 Au 2.95, 3 Zn 2.99
Hg  0.3333  0.6667  0.4646  3 Au 2.95, 3 Zn 2.99
Hg  0.6667  0.3333  0.1313  3 Au 2.95, 3 Zn 2.99
Au  0.0000  0.0000  0.5323  3 Zn 2.68, 3 Hg 2.95
Au  0.3333  0.6667  0.1990  3 Zn 2.68, 3 Hg 2.95
Au  0.6667  0.3333  0.8657  3 Zn 2.68, 3 Hg 2.95

Results
E_form: -200.0 meV/atom
magnetic moment: 0.00 μB per formula unit
total DFT energy (no corrections): -1.69 eV/atom

***

# 3
Compound: KZnHg2Au
Source: the Alexandria database
Functional: PBE-GGA
Structure: relaxed

Cell lengths 5.4202, 5.4202, 5.0869 Å; angles 90.00, 90.00, 90.00 degrees
Last column: nearest neighbours and their distance in Å.
Atoms (fractional coordinates):
K  0.0000  0.0000  0.0000  8 Hg 3.72, 4 Au 3.83
Zn  0.5000  0.5000  0.5000  2 Au 2.54, 4 Hg 2.71
Hg  0.0000  0.5000  0.5000  2 Zn 2.71
Hg  0.5000  0.0000  0.5000  2 Zn 2.71
Au  0.5000  0.5000  0.0000  2 Zn 2.54

Results
E_form: -117.9 meV/atom
excess energy over the best structure of this formula in the dataset: 0 meV/atom
magnetic moment: 0.00 μB per formula unit
total DFT energy (no corrections): -1.37 eV/atom

***

# 4
Compound: K2ZnHg6Au
Source: the Alexandria database
Functional: PBE-GGA
Structure: relaxed

Cell lengths 7.6735, 7.6735, 7.2784 Å; angles 117.86, 117.86, 89.30 degrees
Last column: nearest neighbours and their distance in Å.
Atoms (fractional coordinates):
K  0.2501  0.7499  0.0000  10 Hg 3.64-3.91
K  0.7499  0.2501  0.0000  10 Hg 3.64-3.91
Zn  0.0000  0.0000  0.5000  6 Hg 2.64-2.72
Hg  0.2404  0.2404  0.4884  1 Zn 2.68, 1 Au 2.78
Hg  0.2448  0.7552  0.5000  1 Zn 2.64, 1 Au 2.75
Hg  0.2537  0.2537  0.9897  1 Zn 2.72, 1 Au 2.81
Hg  0.7463  0.7463  0.0103  1 Zn 2.72, 1 Au 2.81
Hg  0.7552  0.2448  0.5000  1 Zn 2.64, 1 Au 2.75
Hg  0.7596  0.7596  0.5116  1 Zn 2.68, 1 Au 2.78
Au  0.5000  0.5000  0.5000  6 Hg 2.75-2.81

Results
E_form: -126.5 meV/atom
magnetic moment: 0.00 μB per formula unit
total DFT energy (no corrections): -0.98 eV/atom